(1)
CaPm5Rh6: relaxed, PBE.

abc: 8.565 8.565 4.959
angles: 106.79 106.79 119.82
Element x y z (fractional)
Ca  0.000  0.000  0.000
Pm  0.160  0.840  0.500
Pm  0.331  0.669  0.000
Pm  0.500  0.500  0.500
Pm  0.669  0.331  0.000
Pm  0.840  0.160  0.500
Rh  0.086  0.426  0.256
Rh  0.262  0.262  0.762
Rh  0.426  0.086  0.256
Rh  0.574  0.914  0.744
Rh  0.738  0.738  0.238
Rh  0.914  0.574  0.744

Properties
E in Ry/atom: -0.47564
Calculated density in g/cm3: 8.897

=====

(2)
CaPmRh: relaxed, PBE.

abc: 4.050 4.050 6.526
angles: 90.00 90.00 120.00
Element x y z (fractional)
Ca  0.000  0.000  0.000
Pm  0.667  0.333  0.520
Rh  0.333  0.667  0.744

Properties
E in Ry/atom: -0.37349
Calculated density in g/cm3: 5.159

=====

(3)
Ca2PmRh9: relaxed, PBE.

abc: 9.279 9.279 9.279
angles: 33.21 33.21 33.21
Element x y z (fractional)
Ca  0.141  0.141  0.141
Ca  0.859  0.859  0.859
Pm  0.000  0.000  0.000
Rh  0.083  0.581  0.581
Rh  0.333  0.333  0.333
Rh  0.419  0.419  0.917
Rh  0.419  0.917  0.419
Rh  0.500  0.500  0.500
Rh  0.581  0.083  0.581
Rh  0.581  0.581  0.083
Rh  0.667  0.667  0.667
Rh  0.917  0.419  0.419

Properties
E in Ry/atom: -0.48584
Calculated density in g/cm3: 8.961

=====

(4)
CaPm8Rh6: relaxed, PBE.

abc: 7.794 7.794 7.794
angles: 66.52 66.52 66.52
Element x y z (fractional)
Ca  0.000  0.000  0.000
Pm  0.121  0.425  0.786
Pm  0.214  0.879  0.575
Pm  0.328  0.328  0.328
Pm  0.425  0.786  0.121
Pm  0.575  0.214  0.879
Pm  0.672  0.672  0.672
Pm  0.786  0.121  0.425
Pm  0.879  0.575  0.214
Rh  0.056  0.714  0.403
Rh  0.286  0.597  0.944
Rh  0.403  0.056  0.714
Rh  0.597  0.944  0.286
Rh  0.714  0.403  0.056
Rh  0.944  0.286  0.597

Properties
E in Ry/atom: -0.45470
Calculated density in g/cm3: 7.903

=====

Number 1: ΔE_f -0.650 eV per atom. Number 2: ΔE_f -0.380 eV per atom. Number 3: ΔE_f -0.367 eV per atom. Number 4: ΔE_f -0.579 eV per atom.